VASP calculation (PBE) on crystalline Ir3WS at its relaxed geometry.

Unit cell a=4.381 b=4.381 c=4.381 alpha=90.00 beta=90.00 gamma=90.00
Fractional coordinates of all 5 atoms:
S: 0.000 0.000 0.000
Ir: 0.000 0.500 0.000
Ir: 0.000 0.000 0.500
Ir: 0.500 0.000 0.000
W: 0.500 0.500 0.500

Computed properties:
* E above lowest polymorph: 0 meV/atom



VASP calculation (PBE) on crystalline YIrS2 at its relaxed geometry.

Unit cell a=4.867 b=4.867 c=7.957 alpha=72.19 beta=72.19 gamma=90.00
Fractional coordinates of all 8 atoms:
Y: 0.500 0.500 0.000
Y: 0.250 0.750 0.500
S: 0.685 0.125 0.250
S: 0.065 0.625 0.250
S: 0.375 0.315 0.750
S: 0.875 0.935 0.750
Ir: 0.000 0.000 0.000
Ir: 0.750 0.250 0.500

Computed properties:
* E above lowest polymorph: 0 meV/atom



VASP calculation (PBE) on crystalline Y7IrS5 at its relaxed geometry.

Unit cell a=3.863 b=6.751 c=23.567 alpha=90.00 beta=90.00 gamma=106.63
Fractional coordinates of all 26 atoms:
Y: 0.462 0.924 0.249
Y: 0.538 0.077 0.749
Y: 0.646 0.291 0.037
Y: 0.368 0.736 0.965
Y: 0.355 0.710 0.537
Y: 0.633 0.266 0.465
Y: 0.202 0.404 0.179
Y: 0.810 0.620 0.821
Y: 0.799 0.597 0.679
Y: 0.191 0.381 0.321
Y: 0.918 0.836 0.108
Y: 0.099 0.199 0.884
Y: 0.083 0.166 0.608
Y: 0.901 0.802 0.384
Ir: 0.806 0.612 0.257
Ir: 0.194 0.389 0.757
S: 0.009 0.017 0.998
S: 0.730 0.461 0.929
S: 0.282 0.565 0.071
S: 0.546 0.092 0.359
S: 0.444 0.887 0.642
S: 0.992 0.984 0.498
S: 0.270 0.540 0.429
S: 0.718 0.437 0.572
S: 0.454 0.909 0.859
S: 0.557 0.114 0.142

Computed properties:
* energy: -7.45 eV/atom



VASP calculation (PBE) on crystalline YIrS at its relaxed geometry.

Unit cell a=3.707 b=3.766 c=10.145 alpha=90.00 beta=90.00 gamma=119.49
Fractional coordinates of all 6 atoms:
Ir: 0.602 0.204 0.000
Ir: 0.326 0.653 0.500
S: 0.602 0.203 0.358
S: 0.602 0.203 0.642
Y: 0.267 0.535 0.819
Y: 0.267 0.535 0.181

Computed properties:
* energy: -6.94 eV/atom



VASP calculation (PBE) on crystalline YIrS2 at its relaxed geometry.

Unit cell a=7.836 b=7.836 c=7.836 alpha=29.21 beta=29.21 gamma=29.21
Fractional coordinates of all 4 atoms:
Y: 0.500 0.500 0.500
S: 0.899 0.899 0.899
S: 0.101 0.101 0.101
Ir: 0.000 0.000 0.000

Computed properties:
* E above lowest polymorph: 312 meV/atom



VASP calculation (PBE) on crystalline Y2IrS at its relaxed geometry.

Unit cell a=3.924 b=3.924 c=7.381 alpha=74.53 beta=74.53 gamma=59.96
Fractional coordinates of all 4 atoms:
Y: 0.078 0.078 0.767
Y: 0.256 0.256 0.231
Ir: 0.666 0.666 0.002
S: 0.500 0.500 0.500

Computed properties:
* energy: -7.70 eV/atom



VASP calculation (PBE) on crystalline YIrS2 at its relaxed geometry.

Unit cell a=4.605 b=4.605 c=4.605 alpha=60.00 beta=60.00 gamma=60.00
Fractional coordinates of all 4 atoms:
Y: 0.000 0.000 0.000
S: 0.250 0.250 0.250
S: 0.750 0.750 0.750
Ir: 0.500 0.500 0.500

Computed properties:
* E above lowest polymorph: 297 meV/atom



VASP calculation (PBE) on crystalline Y4IrS3 at its relaxed geometry.

Unit cell a=3.929 b=6.948 c=6.948 alpha=108.87 beta=90.00 gamma=90.00
Fractional coordinates of all 8 atoms:
Y: 0.000 0.241 0.241
Y: 0.500 0.755 0.245
Y: 0.000 0.759 0.759
Y: 0.500 0.245 0.755
S: 0.000 0.000 0.500
S: 0.500 0.500 0.500
S: 0.000 0.500 0.000
Ir: 0.500 0.000 0.000

Computed properties:
* energy: -7.54 eV/atom



VASP calculation (PBE) on crystalline Y8IrS3 at its relaxed geometry.

Unit cell a=7.659 b=7.659 c=12.906 alpha=90.00 beta=90.00 gamma=120.00
Fractional coordinates of all 24 atoms:
Y: 0.839 0.677 0.088
Y: 0.501 0.499 0.847
Y: 0.667 0.333 0.584
Y: 0.000 0.000 0.846
Y: 0.000 0.000 0.346
Y: 0.323 0.161 0.088
Y: 0.999 0.499 0.847
Y: 0.501 0.001 0.847
Y: 0.161 0.839 0.588
Y: 0.839 0.161 0.088
Y: 0.499 0.999 0.347
Y: 0.001 0.501 0.347
Y: 0.333 0.667 0.084
Y: 0.677 0.839 0.588
Y: 0.499 0.501 0.347
Y: 0.161 0.323 0.588
Ir: 0.667 0.333 0.973
Ir: 0.333 0.667 0.473
S: 0.832 0.663 0.716
S: 0.337 0.168 0.716
S: 0.832 0.168 0.716
S: 0.168 0.832 0.216
S: 0.663 0.832 0.216
S: 0.168 0.337 0.216

Computed properties:
* energy: -7.18 eV/atom



VASP calculation (PBE) on crystalline YZrIr2S at its relaxed geometry.

Unit cell a=4.571 b=4.690 c=4.571 alpha=90.00 beta=90.00 gamma=90.00
Fractional coordinates of all 5 atoms:
Y: 0.500 0.500 0.500
S: 0.000 0.000 0.000
Ir: 0.000 0.000 0.500
Ir: 0.500 0.000 0.000
Zr: 0.000 0.500 0.000

Computed properties:
* energy: -7.60 eV/atom



VASP calculation (PBE) on crystalline ZnIr3S at its relaxed geometry.

Unit cell a=4.556 b=4.556 c=4.556 alpha=90.00 beta=90.00 gamma=90.00
Fractional coordinates of all 5 atoms:
Zn: 0.000 0.000 0.000
Ir: 0.000 0.500 0.000
Ir: 0.000 0.000 0.500
Ir: 0.500 0.000 0.000
S: 0.500 0.500 0.500

Computed properties:
* E above lowest polymorph: 1218 meV/atom



VASP calculation (PBE) on crystalline Zn3IrS at its relaxed geometry.

Unit cell a=4.783 b=4.783 c=4.783 alpha=90.00 beta=90.00 gamma=90.00
Fractional coordinates of all 5 atoms:
Zn: 0.000 0.500 0.000
Zn: 0.000 0.000 0.500
Zn: 0.500 0.000 0.000
Ir: 0.000 0.000 0.000
S: 0.500 0.500 0.500

Computed properties:
* E above lowest polymorph: 0 meV/atom



| no. | density of states at the Fermi level (states/eV/f.u.) |
| --- | --- |
| 1 | 9.43 |
| 2 | 0.31 |
| 3 | 6.21 |
| 4 | 2.37 |
| 5 | 3.97 |
| 6 | 1.91 |
| 7 | 3.67 |
| 8 | 5.97 |
| 9 | 11.68 |
| 10 | 5.05 |
| 11 | 9.19 |
| 12 | 3.91 |